Compound: Ca2MnCF
Source: Alexandria
Functional: GGA+U
Structure: relaxed

For the calculated total energy, the calculation gives -3.84 eV/atom. As for the density of states at the Fermi level: 2.740 states/eV per cell.

The space group is P4/mmm (No. 123) and the conventional cell measures 5.4504, 5.4504 and 3.7586 Å, with angles of 90.00, 90.00 and 90.00 degrees. The distinct sites, in fractional coordinates, are Ca at (0.0000, 0.5000, 0.0000), Mn at (0.0000, 0.0000, 0.0000), C at (0.5000, 0.5000, 0.5000) and F at (0.0000, 0.0000, 0.5000).